Entry 1:
Computed, not measured: a relaxed LiPmS2O8 crystal at the PBE level of DFT.

Computed properties:
**Formation energy without anion corrections**: -1.962 eV per atom

a b c (Å): 5.4361 5.4361 6.7398
angles (deg): 90.00 90.00 120.00
Closest atoms and distances in Å follow each position.
Space group P-3m1 (No. 164)
Inequivalent atoms, fractional coordinates:
1 Li 0.0000 0.0000 0.0000  6 O 2.53
2 Pm 0.0000 0.0000 0.5000  6 O 2.32
3 S 0.3333 0.6667 0.8094  4 O 1.44-1.51
4 O 0.1844 0.3688 0.7280  1 S 1.51
5 O 0.3333 0.6667 0.0234  1 S 1.44

Entry 2:
Computed, not measured: a relaxed Ba2Na2SrAl4F20 crystal at the PBE level of DFT.

Computed properties:
**Formation energy without anion corrections**: -3.600 eV per atom

a b c (Å): 5.3473 20.4564 8.9052
angles (deg): 90.00 126.54 90.00
Closest atoms and distances in Å follow each position.
Space group P2_1/c (No. 14)
Inequivalent atoms, fractional coordinates:
1 Ba 0.0321 0.2220 0.0093  10 F 2.72-2.94
2 Na 0.2278 0.0908 0.7356  4 F 2.17-2.36
3 Sr 0.0000 0.0000 0.0000  6 F 2.52-2.58
4 Al 0.2944 0.6006 0.2817  6 F 1.79-1.89
5 Al 0.4762 0.6374 0.9596  6 F 1.81-1.90
6 F 0.0992 0.6773 0.8390  1 Al 1.82
7 F 0.1265 0.0988 0.4248  2 Al 1.88-1.90
8 F 0.1848 0.6033 0.4393  1 Al 1.82
9 F 0.2920 0.1017 0.0202  1 Al 1.83
10 F 0.3055 0.5674 0.8051  1 Al 1.81
11 F 0.3049 0.6884 0.2748  1 Al 1.80
12 F 0.3076 0.5133 0.2950  1 Al 1.79
13 F 0.3407 0.2063 0.3835  1 Al 1.81
14 F 0.4111 0.5961 0.1194  2 Al 1.86-1.89
15 F 0.4645 0.1770 0.7009  1 Al 1.83

Entry 3:
Computed, not measured: a relaxed Ce4ZnRh5 crystal at the PBE level of DFT.

Computed properties:
**DFT formation energy**: -0.6792 eV/atom

a b c (Å): 8.6204 8.6204 5.5223
angles (deg): 90.00 90.00 90.00
Closest atoms and distances in Å follow each position.
Space group I4 (No. 79)
Inequivalent atoms, fractional coordinates:
1 Ce 0.0909 0.7020 0.0000  5 Rh 2.71-2.87
2 Zn 0.0000 0.0000 0.6928  6 Rh 2.59-2.89
3 Rh 0.0000 0.0000 0.1695  2 Zn 2.63-2.89, 4 Ce 2.84, 4 Rh 2.92
4 Rh 0.0807 0.7419 0.4868  1 Zn 2.59, 4 Ce 2.71-2.87

Entry 4:
Computed, not measured: a relaxed Tc2AgIr crystal at the PBE level of DFT.

Computed properties:
**Polymorph energy (0 for the lowest one)**: 121 meV/atom
**DFT formation energy**: 0.2594 eV/atom

a b c (Å): 2.7528 4.4587 4.9109
angles (deg): 90.00 90.00 90.00
Closest atoms and distances in Å follow each position.
Space group Pmm2 (No. 25)
Inequivalent atoms, fractional coordinates:
1 Tc 0.0000 0.0000 0.0000  4 Tc 2.67-2.75, 4 Ir 2.71-2.92, 4 Ag 2.80
2 Tc 0.0000 0.5000 0.2992  4 Tc 2.67-2.75, 4 Ir 2.76, 4 Ag 2.81-2.82
3 Ag 0.5000 0.5000 0.8008  2 Ir 2.74, 2 Ag 2.75, 8 Tc 2.80-2.82
4 Ir 0.5000 0.0000 0.4765  8 Tc 2.71-2.92, 2 Ag 2.74, 2 Ir 2.75

Entry 5:
Computed, not measured: a relaxed Er2PuSe4 crystal at the PBE level of DFT.

Computed properties:
**Polymorph energy (0 for the lowest one)**: 0 meV/atom
**Formation energy without anion corrections**: -1.737 eV per atom

a b c (Å): 4.0250 13.3207 13.7348
angles (deg): 90.00 90.00 90.00
Closest atoms and distances in Å follow each position.
Space group Cmcm (No. 63)
Inequivalent atoms, fractional coordinates:
1 Er 0.0000 0.1332 0.0675  6 Se 2.78-2.87
2 Pu 0.0000 0.3815 0.2500  6 Se 2.94-3.05
3 Se 0.0000 0.0425 0.2500  2 Er 2.78, 2 Pu 2.94
4 Se 0.0000 0.2269 0.6207  3 Er 2.84-2.87, 2 Pu 3.05
5 Se 0.0000 0.5000 0.0000  4 Er 2.84

Entry 6:
Computed, not measured: a relaxed Cr2SiCl crystal at the PBE level of DFT.

Computed properties:
**Polymorph energy (0 for the lowest one)**: 389 meV/atom
**Formation energy without anion corrections**: 0.397 eV per atom

a b c (Å): 3.4410 3.4410 11.8085
angles (deg): 90.00 90.00 90.00
Closest atoms and distances in Å follow each position.
Space group I-4m2 (No. 119)
Inequivalent atoms, fractional coordinates:
1 Cr 0.0000 0.0000 0.0000  4 Cl 2.43
2 Cr 0.0000 0.5000 0.2500  4 Si 2.43
3 Si 0.0000 0.5000 0.7500  4 Cr 2.43
4 Cl 0.0000 0.0000 0.5000  4 Cr 2.43

Entry 7:
Computed, not measured: a relaxed NdTmInPb crystal at the PBE level of DFT.

Computed properties:
**Polymorph energy (0 for the lowest one)**: 47 meV/atom
**DFT formation energy**: -0.3984 eV/atom

a b c (Å): 7.6967 7.6967 7.6967
angles (deg): 90.00 90.00 90.00
Closest atoms and distances in Å follow each position.
Space group F-43m (No. 216)
Inequivalent atoms, fractional coordinates:
1 Nd 0.0000 0.0000 0.0000  4 In 3.33, 4 Pb 3.33
2 Tm 0.0000 0.0000 0.5000  4 In 3.33, 4 Pb 3.33
3 In 0.2500 0.2500 0.7500  4 Nd 3.33, 4 Tm 3.33
4 Pb 0.2500 0.2500 0.2500  4 Nd 3.33, 4 Tm 3.33

Entry 8:
Computed, not measured: a relaxed La2Th3Te8 crystal at the PBE level of DFT.

Computed properties:
**Polymorph energy (0 for the lowest one)**: 0 meV/atom
**Formation energy without anion corrections**: -1.290 eV per atom

a b c (Å): 10.8414 15.5092 5.4433
angles (deg): 90.00 90.00 90.00
Closest atoms and distances in Å follow each position.
Space group Cmmm (No. 65)
Inequivalent atoms, fractional coordinates:
1 La 0.0000 0.2367 0.0000  8 Te 3.24-3.55
2 Th 0.0000 0.5000 0.0000  8 Te 3.22-3.27
3 Th 0.2373 0.0000 0.5000  8 Te 3.21-3.37
4 Te 0.0000 0.1238 0.5000  2 Th 3.21, 2 La 3.24
5 Te 0.0000 0.3833 0.5000  4 Th 3.27-3.37, 2 La 3.55, 1 Te 3.62
6 Te 0.2407 0.3785 0.0000  3 Th 3.22-3.32, 2 La 3.33-3.41

Entry 9:
Computed, not measured: a relaxed Sc4Zn3In crystal at the PBE level of DFT.

Computed properties:
**DFT formation energy**: -0.3859 eV/atom

a b c (Å): 4.8133 4.8133 23.6442
angles (deg): 90.00 90.00 120.00
Closest atoms and distances in Å follow each position.
Space group R-3m (No. 166, hexagonal axes)
Inequivalent atoms, fractional coordinates:
1 Sc 0.0000 0.0000 0.1202  5 Zn 2.84-3.06, 3 In 2.99
2 Sc 0.0000 0.0000 0.3707  7 Zn 2.86-2.99, 1 In 3.06
3 Zn 0.0000 0.0000 0.0000  8 Sc 2.84-2.92
4 Zn 0.0000 0.0000 0.2498  8 Sc 2.86-3.06
5 In 0.0000 0.0000 0.5000  8 Sc 2.99-3.06

Entry 10:
Computed, not measured: a relaxed TcAu2Br crystal at the PBE level of DFT.

Computed properties:
**Polymorph energy (0 for the lowest one)**: 225 meV/atom
**Formation energy without anion corrections**: 0.568 eV per atom

a b c (Å): 2.9280 4.5021 12.1239
angles (deg): 90.00 90.00 90.00
Closest atoms and distances in Å follow each position.
Space group Immm (No. 71)
Inequivalent atoms, fractional coordinates:
1 Tc 0.0000 0.0000 0.0000  4 Br 2.69, 4 Au 2.86, 2 Tc 2.93
2 Au 0.0000 0.5000 0.2975  2 Tc 2.86, 6 Au 2.92-2.93
3 Br 0.0000 0.0000 0.5000  4 Tc 2.69, 2 Br 2.93

Entry 11:
Computed, not measured: a relaxed Li3FeSi crystal at the PBE level of DFT.

Computed properties:
**Polymorph energy (0 for the lowest one)**: 0 meV/atom
**Formation energy without anion corrections**: 0.697 eV per atom

a b c (Å): 4.6430 4.6430 4.6430
angles (deg): 90.00 90.00 90.00
Closest atoms and distances in Å follow each position.
Space group Pm-3m (No. 221)
Inequivalent atoms, fractional coordinates:
1 Li 0.0000 0.0000 0.5000  2 Si 2.32
2 Fe 0.5000 0.5000 0.5000  12 Li 3.28
3 Si 0.0000 0.0000 0.0000  6 Li 2.32

Entry 12:
Computed, not measured: a relaxed Ti4Al3Ga crystal at the PBE level of DFT.

Computed properties:
**Polymorph energy (0 for the lowest one)**: 0 meV/atom
**DFT formation energy**: -0.3011 eV/atom

a b c (Å): 3.3956 3.3956 11.2238
angles (deg): 90.00 90.00 90.00
Closest atoms and distances in Å follow each position.
Space group P4/mmm (No. 123)
Inequivalent atoms, fractional coordinates:
1 Ti 0.0000 0.0000 0.1186  2 Ti 2.66-2.86, 4 Ga 2.75, 4 Al 2.81
2 Ti 0.0000 0.0000 0.3731  8 Al 2.78-2.79, 2 Ti 2.85-2.86
3 Al 0.5000 0.5000 0.2487  8 Ti 2.78-2.81, 1 Ga 2.79, 1 Al 2.82
4 Al 0.5000 0.5000 0.5000  8 Ti 2.79, 2 Al 2.82
5 Ga 0.5000 0.5000 0.0000  8 Ti 2.75, 2 Al 2.79

Entry 13:
Computed, not measured: a relaxed RbCd3Mo crystal at the PBE level of DFT.

Computed properties:
**Polymorph energy (0 for the lowest one)**: 0 meV/atom
**DFT formation energy**: 0.5903 eV/atom

a b c (Å): 5.5457 5.5457 5.5457
angles (deg): 90.00 90.00 90.00
Closest atoms and distances in Å follow each position.
Space group Pm-3m (No. 221)
Inequivalent atoms, fractional coordinates:
1 Rb 0.0000 0.0000 0.0000  12 Cd 3.92
2 Cd 0.0000 0.5000 0.5000  2 Mo 2.77
3 Mo 0.5000 0.5000 0.5000  6 Cd 2.77

Entry 14:
Computed, not measured: a relaxed NbTeP2Cl crystal at the PBE level of DFT.

Computed properties:
**Polymorph energy (0 for the lowest one)**: 1089 meV/atom
**Formation energy without anion corrections**: 1.273 eV per atom

a b c (Å): 5.0688 5.0688 4.9548
angles (deg): 90.00 90.00 90.00
Closest atoms and distances in Å follow each position.
Space group P4/mmm (No. 123)
Inequivalent atoms, fractional coordinates:
1 Nb 0.0000 0.0000 0.0000  8 P 3.54, 4 Cl 3.58
2 Te 0.5000 0.5000 0.5000  2 Cl 2.48, 4 P 2.53
3 P 0.0000 0.5000 0.5000  2 Te 2.53
4 Cl 0.5000 0.5000 0.0000  2 Te 2.48

Entry 15:
Computed, not measured: a relaxed NaCe2Tm crystal at the PBE level of DFT.

Computed properties:
**DFT formation energy**: 0.2281 eV/atom

a b c (Å): 3.3356 3.3356 38.3727
angles (deg): 90.00 90.00 120.00
Closest atoms and distances in Å follow each position.
Space group R-3m (No. 166, hexagonal axes)
Inequivalent atoms, fractional coordinates:
1 Na 0.0000 0.0000 0.0000  6 Na 3.34, 2 Ce 3.50
2 Ce 0.0000 0.0000 0.0913  6 Ce 3.34, 3 Tm 3.48, 1 Na 3.50
3 Tm 0.0000 0.0000 0.5000  6 Tm 3.34, 6 Ce 3.48

Entry 16:
Computed, not measured: a relaxed IrOsBr2 crystal at the PBE level of DFT.

Computed properties:
**Polymorph energy (0 for the lowest one)**: 744 meV/atom
**Formation energy without anion corrections**: 1.137 eV per atom

a b c (Å): 2.8415 2.8415 35.4357
angles (deg): 90.00 90.00 120.00
Closest atoms and distances in Å follow each position.
Space group R-3m (No. 166, hexagonal axes)
Inequivalent atoms, fractional coordinates:
1 Ir 0.0000 0.0000 0.0000  6 Ir 2.84
2 Os 0.0000 0.0000 0.5000  2 Br 2.39
3 Br 0.0000 0.0000 0.4327  1 Os 2.39

Entry 17:
Computed, not measured: a relaxed SbIr3Rh crystal at the PBE level of DFT.

Computed properties:
**Polymorph energy (0 for the lowest one)**: 0 meV/atom
**Formation energy without anion corrections**: 1.686 eV per atom

a b c (Å): 4.7361 4.7361 4.7361
angles (deg): 90.00 90.00 90.00
Closest atoms and distances in Å follow each position.
Space group Pm-3m (No. 221)
Inequivalent atoms, fractional coordinates:
1 Sb 0.0000 0.0000 0.0000  12 Ir 3.35
2 Ir 0.0000 0.5000 0.5000  2 Rh 2.37
3 Rh 0.5000 0.5000 0.5000  6 Ir 2.37

Entry 18:
Computed, not measured: a relaxed AcCd2Au crystal at the PBE level of DFT.

Computed properties:
**Polymorph energy (0 for the lowest one)**: 151 meV/atom
**DFT formation energy**: -0.3549 eV/atom

a b c (Å): 4.5228 4.5228 5.4217
angles (deg): 90.00 90.00 90.00
Closest atoms and distances in Å follow each position.
Space group P4/mmm (No. 123)
Inequivalent atoms, fractional coordinates:
1 Ac 0.0000 0.0000 0.0000  4 Au 3.20, 8 Cd 3.53
2 Cd 0.0000 0.5000 0.5000  4 Cd 3.20, 4 Ac 3.53, 4 Au 3.53
3 Au 0.5000 0.5000 0.0000  4 Ac 3.20, 8 Cd 3.53

Entry 19:
Computed, not measured: a relaxed Si3Sb5Au12 crystal at the PBE level of DFT.

Computed properties:
**Formation energy without anion corrections**: 0.113 eV per atom

a b c (Å): 15.5580 15.5580 15.5580
angles (deg): 90.00 90.00 90.00
Closest atoms and distances in Å follow each position.
Space group Ia-3d (No. 230)
Inequivalent atoms, fractional coordinates:
1 Si 0.0000 0.2500 0.1250  4 Au 2.47
2 Sb 0.0000 0.0000 0.0000  6 Au 2.77
3 Sb 0.0000 0.2500 0.3750  4 Au 2.69
4 Au 0.0211 0.0946 0.6497  1 Si 2.47, 1 Sb 2.69

no.,M_tot (Bohr magnetons per cell)
1,0.0
2,0.5
3,0.0
4,0.0
5,22.7
6,4.0
7,0.0
8,3.3
9,0.0
10,3.6
11,3.6
12,0.0
13,2.9
14,2.4
15,5.5
16,3.2
17,0.0
18,0.0
19,0.0